! NbCr2PIr, relaxed, DFT PBE; values from VASP
! - Total DFT energy (no corrections): -7.027 eV/atom
! - Magnetic moment: 1.205 μB per atom
! - Space-group type: P4/mmm, No. 123
&SYSTEM
  ibrav = 0, nat = 5, ntyp = 4
/
ATOMIC_SPECIES
Cr 52.00 Cr.upf
Nb 92.91 Nb.upf
P 30.97 P.upf
Ir 192.22 Ir.upf
ATOMIC_POSITIONS crystal
Cr 0.500 0.000 0.000
Nb 0.000 0.000 0.000
P 0.500 0.500 0.500
Ir 0.000 0.500 0.000
Cr 0.000 0.000 0.500
CELL_PARAMETERS angstrom
-2.619 2.072 -3.319
-3.821 -2.374 1.533
-0.989 3.513 2.974